An optimized crystal structure of CaPr2AgHg4, computed with PBE.

a = 9.1826 Å, b = 9.1826 Å, c = 9.1826 Å
α = 33.33°, β = 33.33°, γ = 33.33°
Last column: nearest neighbours and their distance in Å.
Atoms (fractional coordinates):
1 Ca 0.0000 0.0000 0.0000  8 Hg 3.22
2 Pr 0.2448 0.2448 0.2448  8 Hg 3.14-3.35
3 Pr 0.7552 0.7552 0.7552  8 Hg 3.14-3.35
4 Ag 0.5000 0.5000 0.5000  8 Hg 3.24-3.28
5 Hg 0.1240 0.1240 0.1240  4 Pr 3.14-3.18, 1 Ca 3.22, 3 Ag 3.24
6 Hg 0.3738 0.3738 0.3738  3 Ca 3.22, 1 Ag 3.28, 4 Pr 3.29-3.35
7 Hg 0.6262 0.6262 0.6262  3 Ca 3.22, 1 Ag 3.28, 4 Pr 3.29-3.35
8 Hg 0.8760 0.8760 0.8760  4 Pr 3.14-3.18, 1 Ca 3.22, 3 Ag 3.24

Computed properties:
The density comes out at 9.8 g/cm³. The calculation puts the calculated total energy at -2.38 eV per atom. The formation enthalpy at 0 K is -0.429 eV/atom. Its space group is No. 166.